First-principles (PBE) data for crystalline SrZnIO2 at its relaxed geometry, as listed in Alexandria via LeMat-Bulk.

Geometry as POSCAR:
```
SrZnIO2
1.0
4.537 0.000 0.000
0.000 4.537 0.000
0.000 0.000 7.038
O Sr I Zn
2 1 1 1
Direct
0.000 0.500 0.000
0.500 0.000 0.000
0.000 0.000 0.000
0.000 0.000 0.500
0.500 0.500 0.500
```

Summary:
- Energy above the lowest structure with this stoichiometry: 0.448 eV/atom
- DOS at the Fermi energy: 2.1 states/eV/cell
- Magnetization: 0.11 μB per formula unit
- Symmetry: P4/mmm (123)
- Formation energy from raw total energies: -385 meV per atom